# 1
DFT (PBE) results for HgOs after structural relaxation.

Geometry as extended XYZ:
```
6
Lattice="1.4085 5.7323 0.0031 -1.4085 5.7323 0.0031 0.0000 3.1830 6.8340" Properties=species:S:1:pos:R:3 pbc="T T T"
Hg 0.0000 14.1997 6.4250
Hg 0.0000 5.3567 2.1358
Hg 0.0000 8.1427 0.6134
Os 0.0000 9.9432 4.4218
Os 0.0000 2.3034 3.2806
Os 0.0000 6.4386 4.7844
```

Summary:
Uncorrected energy, eV/atom: -5.086

# 2
DFT (PBE) results for HgOs after structural relaxation.

Geometry as extended XYZ:
```
6
Lattice="-8.7843 2.4489 0.5946 8.0109 -2.8696 -3.3324 -1.0888 -4.1345 0.9428" Properties=species:S:1:pos:R:3 pbc="T T T"
Hg 7.5863 -2.7351 -3.2331
Hg 2.6081 -1.1587 -2.0691
Hg 0.1809 -2.6297 -1.1575
Os -3.2118 0.6843 -0.7084
Os -5.1503 -0.9415 0.0890
Os 5.2302 -4.2287 -2.3381
```

Summary:
Uncorrected energy, eV/atom: -5.087

# 3
DFT (PBE) results for Hg3Os after structural relaxation.

Geometry as extended XYZ:
```
4
Lattice="5.3105 0.0000 0.0000 0.0000 5.3105 0.0000 0.0000 0.0000 5.3105" Properties=species:S:1:pos:R:3 pbc="T T T"
Hg 0.0000 0.0000 2.6552
Hg 0.0000 2.6552 0.0000
Hg 2.6552 0.0000 0.0000
Os 0.0000 0.0000 0.0000
```

Summary:
Uncorrected energy, eV/atom: -2.201

> The highest uncorrected energy belongs to which entry?

Hg3Os

Please write out number 2 again, unchanged.
DFT (PBE) results for HgOs after structural relaxation.

Geometry as extended XYZ:
```
6
Lattice="-8.7843 2.4489 0.5946 8.0109 -2.8696 -3.3324 -1.0888 -4.1345 0.9428" Properties=species:S:1:pos:R:3 pbc="T T T"
Hg 7.5863 -2.7351 -3.2331
Hg 2.6081 -1.1587 -2.0691
Hg 0.1809 -2.6297 -1.1575
Os -3.2118 0.6843 -0.7084
Os -5.1503 -0.9415 0.0890
Os 5.2302 -4.2287 -2.3381
```

Summary:
Uncorrected energy, eV/atom: -5.087

> The lowest uncorrected energy belongs to which entry?

number 2

> What is the formula in the second record?

HgOs